(1)
A plane-wave DFT calculation with PBE was carried out for a relaxed LiNiBr3 crystal.

```
LiNiBr3
1.0
4.983 0.000 0.000
0.000 4.983 0.000
0.000 0.000 4.983
Li Ni Br
1 1 3
Direct
0.000 0.000 0.000
0.500 0.500 0.500
0.000 0.000 0.500
0.000 0.500 0.000
0.500 0.000 0.000
```

Output
**Formation energy without anion corrections**: 0.0888 eV per atom
**Space group**: Pm-3m (221)

***

(2)
A plane-wave DFT calculation with PBE was carried out for a relaxed Mg2PbSe crystal.

```
Mg2PbSe
1.0
0.000 3.604 3.604
3.604 0.000 3.604
3.604 3.604 0.000
Mg Pb Se
2 1 1
Direct
0.250 0.250 0.250
0.750 0.750 0.750
0.000 0.000 0.000
0.500 0.500 0.500
```

Output
**Formation energy without anion corrections**: -0.1057 eV per atom
**Space group**: Fm-3m (225)

***

(3)
A plane-wave DFT calculation with PBE was carried out for a relaxed SrIn2Hg crystal.

```
SrIn2Hg
1.0
3.809 0.000 0.000
0.000 3.981 0.000
0.000 0.000 7.620
Sr In Hg
1 2 1
Direct
0.000 0.000 0.000
0.000 0.000 0.486
0.500 0.500 0.702
0.500 0.500 0.263
```

Output
**Formation enthalpy at 0 K**: -0.29 eV/atom
**Space group**: Pmm2 (25)

***

(4)
A plane-wave DFT calculation with PBE was carried out for a relaxed CuAsP crystal.

```
CuAsP
1.0
-1.321 1.321 7.246
1.321 -1.321 7.246
1.321 1.321 -7.246
Cu As P
1 1 1
Direct
0.000 0.000 0.000
0.646 0.646 0.000
0.377 0.377 0.000
```

Output
**Formation enthalpy at 0 K**: 0.32 eV/atom
**Space group**: I4mm (107)

***

(5)
A plane-wave DFT calculation with PBE was carried out for a relaxed NdGdGaPb crystal.

```
NdGdGaPb
1.0
0.000 3.801 3.801
3.801 0.000 3.801
3.801 3.801 0.000
Nd Gd Ga Pb
1 1 1 1
Direct
0.000 0.000 0.000
0.500 0.500 0.500
0.250 0.250 0.250
0.750 0.750 0.750
```

Output
**Formation enthalpy at 0 K**: -0.46 eV/atom
**Space group**: F-43m (216)

***

(6)
A plane-wave DFT calculation with PBE was carried out for a relaxed CdTcMo crystal.

```
CdTcMo
1.0
-1.401 2.063 4.281
1.401 -2.063 4.281
1.401 2.063 -4.281
Cd Tc Mo
1 1 1
Direct
0.000 0.000 0.000
0.329 0.329 0.000
0.673 0.673 0.000
```

Output
**Formation enthalpy at 0 K**: 0.41 eV/atom
**Space group**: Imm2 (44)